DFT (GGA-PBE) results for KTlSnSb after structural relaxation.

## Properties
Uncorrected formation energy   -0.044 eV/atom
Total magnetization   0.000 μB per formula unit
DOS at the Fermi energy   0.8406 states/eV per atom
Crystal system   cubic
Energy relative to the lowest polymorph listed for this composition   0.27 eV/f.u.

```
KTlSnSb
1.0
-4.9641 -2.4266 -0.9838
-3.0674 -1.9492 4.2767
-4.7426 2.6147 1.4727
K Sb Tl Sn
1 1 1 1
direct
0.7500 0.7500 0.7500 K
0.0000 0.0000 0.0000 Sb
0.5000 0.5000 0.5000 Tl
0.2500 0.2500 0.2500 Sn
```

DFT (GGA-PBE) results for La7TlBr12 after structural relaxation.

## Properties
Uncorrected formation energy   -1.646 eV/atom
Total magnetization   2.042 μB per formula unit
DOS at the Fermi energy   0.1817 states/eV per atom
Crystal system   trigonal

```
La7TlBr12
1.0
-0.1561 -2.4929 -9.5680
1.3368 -8.0580 5.5737
-8.4742 4.4561 2.4732
La Tl Br
7 1 12
direct
0.9315 0.6326 0.8466 La
0.3674 0.1534 0.0685 La
0.1534 0.0685 0.3674 La
0.5000 0.5000 0.5000 La
0.8466 0.9315 0.6326 La
0.6326 0.8466 0.9315 La
0.0685 0.3674 0.1534 La
0.0000 0.0000 0.0000 Tl
0.9225 0.2977 0.7893 Br
0.7023 0.2107 0.0775 Br
0.4926 0.1612 0.3988 Br
0.8388 0.6012 0.5074 Br
0.2107 0.0775 0.7023 Br
0.6012 0.5074 0.8388 Br
0.3988 0.4926 0.1612 Br
0.7893 0.9225 0.2977 Br
0.1612 0.3988 0.4926 Br
0.5074 0.8388 0.6012 Br
0.2977 0.7893 0.9225 Br
0.0775 0.7023 0.2107 Br
```

DFT (GGA-PBE) results for Ba2InOs after structural relaxation.

## Properties
Total magnetization   0.000 μB per formula unit
Formation energy   0.17 eV/atom
DOS at the Fermi energy   0.8537 states/eV per atom
Crystal system   trigonal

```
Ba2InOs
1.0
4.6985 -0.1283 0.0540
2.4631 4.0032 0.0540
2.2845 1.2360 8.6602
Ba In Os
2 1 1
direct
0.0425 0.0425 0.8737 Ba
0.2079 0.2079 0.3766 Ba
0.4581 0.4581 0.6252 In
0.7915 0.7915 0.6245 Os
```

DFT (GGA-PBE) results for Ca3PbF after structural relaxation.

## Properties
Uncorrected formation energy   -1.288 eV/atom
Total magnetization   0.000 μB per formula unit
DOS at the Fermi energy   1.0048 states/eV per atom
Crystal system   cubic
Energy relative to the lowest polymorph listed for this composition   0.31 eV/f.u.

```
Ca3PbF
1.0
5.0484 0.0000 0.0000
0.0000 5.0484 0.0000
0.0000 0.0000 5.0484
Pb Ca F
1 3 1
direct
0.5000 0.5000 0.5000 Pb
0.0000 0.5000 0.0000 Ca
0.0000 0.0000 0.5000 Ca
0.5000 0.0000 0.0000 Ca
0.0000 0.0000 0.0000 F
```

DFT (GGA-PBE) results for Ti6SnO after structural relaxation.

## Properties
Uncorrected formation energy   -0.765 eV/atom
Total magnetization   0.000 μB per formula unit
DOS at the Fermi energy   0.7978 states/eV per atom
Crystal system   trigonal

```
Ti6SnO
1.0
-1.3850 -1.9486 4.5997
-3.0680 -2.6720 -3.2125
4.5676 -2.3315 -0.7682
Ti Sn O
6 1 1
direct
0.2187 0.2187 0.6043 Ti
0.6044 0.2188 0.2188 Ti
0.7813 0.7813 0.3957 Ti
0.7812 0.3956 0.7812 Ti
0.3956 0.7812 0.7812 Ti
0.2188 0.6044 0.2188 Ti
0.0000 0.0000 0.0000 Sn
0.5000 0.5000 0.5000 O
```

DFT (GGA-PBE) results for Cd5Pt after structural relaxation.

## Properties
Total magnetization   0.000 μB per formula unit
Formation energy   -0.11 eV/atom
DOS at the Fermi energy   0.2351 states/eV per atom
Crystal system   monoclinic

```
Cd5Pt
1.0
5.7842 -0.0111 0.0934
4.9536 2.9864 0.0934
-9.0178 -2.4987 6.8329
Cd Pt
5 1
direct
0.0164 0.0164 0.0034 Cd
0.1285 0.1285 0.7463 Cd
0.3352 0.3352 0.6658 Cd
0.4394 0.4394 0.3865 Cd
0.6386 0.6386 0.3128 Cd
0.7752 0.7752 0.0518 Pt
```

DFT (GGA-PBE) results for Sm3HgRh8 after structural relaxation.

## Properties
Total magnetization   0.000 μB per formula unit
Formation energy   -0.52 eV/atom
DOS at the Fermi energy   0.9338 states/eV per atom
Crystal system   trigonal

```
Sm3HgRh8
1.0
-0.4111 -1.0859 -5.2180
3.1178 -3.7405 -2.2054
-5.1775 -7.7070 -0.7264
Sm Hg Rh
3 1 8
direct
0.3758 0.3758 0.8727 Sm
0.9945 0.9945 0.0165 Sm
0.5049 0.5049 0.4854 Sm
0.8728 0.8728 0.3816 Hg
0.9384 0.4373 0.1870 Rh
0.4377 0.9378 0.6867 Rh
0.4373 0.4373 0.1870 Rh
0.9378 0.9378 0.6867 Rh
0.1879 0.1879 0.4363 Rh
0.6879 0.6879 0.9364 Rh
0.4373 0.9384 0.1870 Rh
0.9378 0.4377 0.6867 Rh
```

DFT (GGA-PBE) results for LiDy2Tm after structural relaxation.

## Properties
Total magnetization   0.000 μB per formula unit
Formation energy   0.14 eV/atom
DOS at the Fermi energy   1.1013 states/eV per atom
Crystal system   tetragonal
Energy relative to the lowest polymorph listed for this composition   0.27 eV/f.u.

```
LiDy2Tm
1.0
-2.0365 1.1045 -2.9426
3.7830 -2.1275 -3.4168
-2.6793 -4.8303 0.0411
Tm Li Dy
1 1 2
direct
0.5000 0.5000 0.5000 Tm
0.5000 0.0000 0.0000 Li
0.0000 0.0000 0.5000 Dy
0.0000 0.5000 0.0000 Dy
```